PBE with a Hubbard U Ba3Mn5F12, relaxed; uncorrected energy = -117.0 eV per formula unit; calculated volume = 1497.2 Å³ per cell; space group = Ia-3d, No. 230
1.0
-7.207 7.207 7.207
7.207 -7.207 7.207
7.207 7.207 -7.207
Ba Mn F
12 20 48
direct
0.125 0.250 0.375
0.125 0.375 0.750
0.250 0.375 0.125
0.250 0.875 0.625
0.375 0.125 0.250
0.375 0.750 0.125
0.625 0.250 0.875
0.625 0.875 0.750
0.750 0.125 0.375
0.750 0.625 0.875
0.875 0.625 0.250
0.875 0.750 0.625
0.000 0.000 0.000
0.000 0.000 0.500
0.000 0.500 0.000
0.000 0.500 0.500
0.125 0.750 0.875
0.125 0.875 0.250
0.250 0.125 0.875
0.250 0.625 0.375
0.375 0.250 0.625
0.375 0.625 0.750
0.500 0.000 0.000
0.500 0.000 0.500
0.500 0.500 0.000
0.500 0.500 0.500
0.625 0.375 0.250
0.625 0.750 0.375
0.750 0.375 0.625
0.750 0.875 0.125
0.875 0.125 0.750
0.875 0.250 0.125
0.036 0.198 0.123
0.036 0.339 0.913
0.075 0.698 0.661
0.075 0.877 0.413
0.087 0.623 0.425
0.087 0.964 0.661
0.123 0.036 0.198
0.123 0.587 0.925
0.161 0.198 0.575
0.161 0.464 0.587
0.198 0.123 0.036
0.198 0.575 0.161
0.302 0.339 0.925
0.302 0.464 0.377
0.339 0.913 0.036
0.339 0.925 0.302
0.377 0.302 0.464
0.377 0.575 0.913
0.413 0.075 0.877
0.413 0.839 0.536
0.425 0.087 0.623
0.425 0.839 0.802
0.464 0.377 0.302
0.464 0.587 0.161
0.536 0.413 0.839
0.536 0.623 0.698
0.575 0.161 0.198
0.575 0.913 0.377
0.587 0.161 0.464
0.587 0.925 0.123
0.623 0.425 0.087
0.623 0.698 0.536
0.661 0.075 0.698
0.661 0.087 0.964
0.698 0.536 0.623
0.698 0.661 0.075
0.802 0.425 0.839
0.802 0.877 0.964
0.839 0.536 0.413
0.839 0.802 0.425
0.877 0.413 0.075
0.877 0.964 0.802
0.913 0.036 0.339
0.913 0.377 0.575
0.925 0.123 0.587
0.925 0.302 0.339
0.964 0.661 0.087
0.964 0.802 0.877